SrIrCl: relaxed, PBE.

a = 4.407 Å, b = 4.333 Å, c = 10.958 Å
α = 101.13°, β = 78.30°, γ = 59.48°
Atoms (fractional coordinates):
Sr: 0.941 0.978 0.791
Sr: 0.855 0.730 0.217
Cl: 0.421 0.830 0.977
Cl: 0.380 0.203 0.690
Ir: 0.339 0.569 0.409
Ir: 0.983 0.281 0.409

Output
Space group: No. 1
Raw total energy: -5.108 eV per atom
Energy relative to the elements, uncorrected: -0.978 eV/atom
E above lowest polymorph: 276.4 meV/atom
Crystal system: triclinic



MgTl2Cd: relaxed, PBE.

a = 5.724 Å, b = 5.724 Å, c = 5.724 Å
α = 130.81°, β = 130.81°, γ = 72.12°
Atoms (fractional coordinates):
Tl: 0.000 0.000 0.000
Tl: 0.500 0.500 0.000
Mg: 0.750 0.250 0.500
Cd: 0.250 0.750 0.500

Output
Space group: No. 139
Raw total energy: -1.784 eV per atom
E_form: 0.027 eV per atom
E above lowest polymorph: 32.7 meV/atom
Crystal system: tetragonal